(1)
# TaTc2Au, relaxed, DFT PBE
# **VASP energy**: -8.823 eV/atom
# **Energy of formation from the pure elements**: 0.142 eV/atom
# **Total magnetization**: 0.000 Bohr magnetons per cell
# **N(E_F)**: 2.87 states/eV per cell
data_TaTc2Au
_chemical_formula_sum 'Ta1 Tc2 Au1'
_cell_length_a 2.751
_cell_length_b 4.224
_cell_length_c 5.668
_cell_angle_alpha 90.00
_cell_angle_beta 98.54
_cell_angle_gamma 90.00
_symmetry_space_group_name_H-M 'P 1 2/m 1'
_symmetry_Int_Tables_number 10
_symmetry_space_group_name_Hall '-P 2y'
loop_
_atom_site_label
_atom_site_fract_x
_atom_site_fract_y
_atom_site_fract_z
Ta1 0.000 0.000 0.000
Tc1 0.415 0.500 0.246
Au1 0.000 0.000 0.500


(2)
# TaTc2Au, relaxed, DFT PBE
# **VASP energy**: -8.839 eV/atom
# **Energy of formation from the pure elements**: 0.127 eV/atom
# **Total magnetization**: 0.000 Bohr magnetons per cell
# **N(E_F)**: 9.58 states/eV per cell
data_TaTc2Au
_chemical_formula_sum 'Ta2 Tc4 Au2'
_cell_length_a 4.052
_cell_length_b 4.052
_cell_length_c 7.828
_cell_angle_alpha 90.00
_cell_angle_beta 90.00
_cell_angle_gamma 90.00
_symmetry_space_group_name_H-M 'I 4/m m m'
_symmetry_Int_Tables_number 139
_symmetry_space_group_name_Hall '-I 4 2'
loop_
_atom_site_label
_atom_site_fract_x
_atom_site_fract_y
_atom_site_fract_z
Ta1 0.000 0.000 0.000
Tc1 0.000 0.500 0.250
Au1 0.000 0.000 0.500


(3)
# TaTc3Au, relaxed, DFT PBE
# **VASP energy**: -7.489 eV/atom
# **Energy of formation from the pure elements**: 1.757 eV/atom
# **Total magnetization**: 2.290 Bohr magnetons per cell
# **N(E_F)**: 7.41 states/eV per cell
data_TaTc3Au
_chemical_formula_sum 'Ta1 Tc3 Au1'
_cell_length_a 4.717
_cell_length_b 4.717
_cell_length_c 4.717
_cell_angle_alpha 90.00
_cell_angle_beta 90.00
_cell_angle_gamma 90.00
_symmetry_space_group_name_H-M 'P m -3 m'
_symmetry_Int_Tables_number 221
_symmetry_space_group_name_Hall '-P 4 2 3'
loop_
_atom_site_label
_atom_site_fract_x
_atom_site_fract_y
_atom_site_fract_z
Ta1 0.000 0.000 0.000
Tc1 0.000 0.000 0.500
Au1 0.500 0.500 0.500


(4)
# TaTcAu3, relaxed, DFT PBE
# **VASP energy**: -4.879 eV/atom
# **Energy of formation from the pure elements**: 1.531 eV/atom
# **Total magnetization**: 4.236 Bohr magnetons per cell
# **N(E_F)**: 6.06 states/eV per cell
data_TaTcAu3
_chemical_formula_sum 'Ta1 Tc1 Au3'
_cell_length_a 5.073
_cell_length_b 5.073
_cell_length_c 5.073
_cell_angle_alpha 90.00
_cell_angle_beta 90.00
_cell_angle_gamma 90.00
_symmetry_space_group_name_H-M 'P m -3 m'
_symmetry_Int_Tables_number 221
_symmetry_space_group_name_Hall '-P 4 2 3'
loop_
_atom_site_label
_atom_site_fract_x
_atom_site_fract_y
_atom_site_fract_z
Ta1 0.000 0.000 0.000
Tc1 0.500 0.500 0.500
Au1 0.000 0.000 0.500


(5)
# TaTc2Au, relaxed, DFT PBE
# **VASP energy**: -8.849 eV/atom
# **Energy of formation from the pure elements**: 0.117 eV/atom
# **Total magnetization**: 0.000 Bohr magnetons per cell
# **N(E_F)**: 6.82 states/eV per cell
data_TaTc2Au
_chemical_formula_sum 'Ta2 Tc4 Au2'
_cell_length_a 3.214
_cell_length_b 4.512
_cell_length_c 9.048
_cell_angle_alpha 90.00
_cell_angle_beta 90.00
_cell_angle_gamma 90.00
_symmetry_space_group_name_H-M 'C m m m'
_symmetry_Int_Tables_number 65
_symmetry_space_group_name_Hall '-C 2 2'
loop_
_atom_site_label
_atom_site_fract_x
_atom_site_fract_y
_atom_site_fract_z
Ta1 0.000 0.000 0.000
Tc1 0.000 0.500 0.237
Au1 0.000 0.000 0.500


(6)
# Ta2TcAu2, relaxed, DFT PBE
# **VASP energy**: -7.565 eV/atom
# **Energy of formation from the pure elements**: 0.560 eV/atom
# **Total magnetization**: 0.002 Bohr magnetons per cell
# **N(E_F)**: 11.19 states/eV per cell
data_Ta2TcAu2
_chemical_formula_sum 'Ta4 Tc2 Au4'
_cell_length_a 3.642
_cell_length_b 3.642
_cell_length_c 14.445
_cell_angle_alpha 90.00
_cell_angle_beta 90.00
_cell_angle_gamma 90.00
_symmetry_space_group_name_H-M 'I 4/m m m'
_symmetry_Int_Tables_number 139
_symmetry_space_group_name_Hall '-I 4 2'
loop_
_atom_site_label
_atom_site_fract_x
_atom_site_fract_y
_atom_site_fract_z
Ta1 0.000 0.000 0.089
Tc1 0.000 0.000 0.500
Au1 0.000 0.500 0.250


(7)
# TaTc2Au, relaxed, DFT PBE
# **VASP energy**: -8.982 eV/atom
# **Energy of formation from the pure elements**: -0.017 eV/atom
# **Total magnetization**: 0.000 Bohr magnetons per cell
# **N(E_F)**: 2.75 states/eV per cell
data_TaTc2Au
_chemical_formula_sum 'Ta1 Tc2 Au1'
_cell_length_a 2.916
_cell_length_b 3.886
_cell_length_c 5.744
_cell_angle_alpha 90.00
_cell_angle_beta 90.08
_cell_angle_gamma 90.00
_symmetry_space_group_name_H-M 'P 1 m 1'
_symmetry_Int_Tables_number 6
_symmetry_space_group_name_Hall 'P -2y'
loop_
_atom_site_label
_atom_site_fract_x
_atom_site_fract_y
_atom_site_fract_z
Ta1 0.000 0.000 0.000
Tc1 0.499 0.500 0.248
Tc2 0.999 0.000 0.447
Au1 0.499 0.500 0.729


(8)
# TaTlTc2Au, relaxed, DFT PBE
# **VASP energy**: -5.485 eV/atom
# **Energy of formation from the pure elements**: 2.160 eV/atom
# **Total magnetization**: 2.931 Bohr magnetons per cell
# **N(E_F)**: 4.75 states/eV per cell
data_TaTlTc2Au
_chemical_formula_sum 'Ta1 Tl1 Tc2 Au1'
_cell_length_a 4.974
_cell_length_b 4.974
_cell_length_c 4.939
_cell_angle_alpha 90.00
_cell_angle_beta 90.00
_cell_angle_gamma 90.00
_symmetry_space_group_name_H-M 'P 4/m m m'
_symmetry_Int_Tables_number 123
_symmetry_space_group_name_Hall '-P 4 2'
loop_
_atom_site_label
_atom_site_fract_x
_atom_site_fract_y
_atom_site_fract_z
Ta1 0.000 0.000 0.000
Tl1 0.500 0.500 0.000
Tc1 0.000 0.500 0.500
Au1 0.500 0.500 0.500


(9)
# TaTe2Au, relaxed, DFT PBE
# **VASP energy**: -5.404 eV/atom
# **Total magnetization**: 0.000 Bohr magnetons per cell
# **E_form (uncorrected)**: -0.050 eV per atom
# **N(E_F)**: 0.75 states/eV per cell
data_TaTe2Au
_chemical_formula_sum 'Ta2 Te4 Au2'
_cell_length_a 10.465
_cell_length_b 3.336
_cell_length_c 8.074
_cell_angle_alpha 90.00
_cell_angle_beta 114.90
_cell_angle_gamma 90.00
_symmetry_space_group_name_H-M 'C 1 m 1'
_symmetry_Int_Tables_number 8
_symmetry_space_group_name_Hall 'C -2y'
loop_
_atom_site_label
_atom_site_fract_x
_atom_site_fract_y
_atom_site_fract_z
Ta1 0.000 0.000 0.000
Te1 0.014 0.500 0.735
Te2 0.149 0.500 0.288
Au1 0.275 0.000 0.936


(10)
# Ta2TeAu, relaxed, DFT PBE
# **VASP energy**: -7.339 eV/atom
# **Total magnetization**: 0.000 Bohr magnetons per cell
# **E_form (uncorrected)**: 0.192 eV per atom
# **N(E_F)**: 2.83 states/eV per cell
data_Ta2TeAu
_chemical_formula_sum 'Ta2 Te1 Au1'
_cell_length_a 3.311
_cell_length_b 4.682
_cell_length_c 5.395
_cell_angle_alpha 90.00
_cell_angle_beta 106.99
_cell_angle_gamma 90.00
_symmetry_space_group_name_H-M 'P 1 m 1'
_symmetry_Int_Tables_number 6
_symmetry_space_group_name_Hall 'P -2y'
loop_
_atom_site_label
_atom_site_fract_x
_atom_site_fract_y
_atom_site_fract_z
Ta1 0.000 0.000 0.000
Ta2 0.163 0.500 0.344
Te1 0.713 0.000 0.444
Au1 0.445 0.500 0.885


(11)
# Ta2TeAu, relaxed, DFT PBE
# **VASP energy**: -7.158 eV/atom
# **Total magnetization**: 0.000 Bohr magnetons per cell
# **E_form (uncorrected)**: 0.373 eV per atom
# **N(E_F)**: 9.23 states/eV per cell
data_Ta2TeAu
_chemical_formula_sum 'Ta4 Te2 Au2'
_cell_length_a 4.142
_cell_length_b 4.142
_cell_length_c 8.967
_cell_angle_alpha 90.00
_cell_angle_beta 90.00
_cell_angle_gamma 90.00
_symmetry_space_group_name_H-M 'I -4 m 2'
_symmetry_Int_Tables_number 119
_symmetry_space_group_name_Hall 'I -4 -2'
loop_
_atom_site_label
_atom_site_fract_x
_atom_site_fract_y
_atom_site_fract_z
Ta1 0.000 0.000 0.000
Ta2 0.000 0.500 0.250
Te1 0.000 0.500 0.750
Au1 0.000 0.000 0.500


(12)
# TaTeAu2, relaxed, DFT PBE
# **VASP energy**: -5.111 eV/atom
# **Total magnetization**: 0.000 Bohr magnetons per cell
# **E_form (uncorrected)**: 0.276 eV per atom
# **N(E_F)**: 7.07 states/eV per cell
data_TaTeAu2
_chemical_formula_sum 'Ta2 Te2 Au4'
_cell_length_a 4.326
_cell_length_b 4.326
_cell_length_c 8.412
_cell_angle_alpha 90.00
_cell_angle_beta 90.00
_cell_angle_gamma 90.00
_symmetry_space_group_name_H-M 'I -4 m 2'
_symmetry_Int_Tables_number 119
_symmetry_space_group_name_Hall 'I -4 -2'
loop_
_atom_site_label
_atom_site_fract_x
_atom_site_fract_y
_atom_site_fract_z
Ta1 0.000 0.000 0.000
Te1 0.000 0.500 0.750
Au1 0.000 0.000 0.500
Au2 0.000 0.500 0.250